Material: NbNiO2F
Method: DFT, GGA+U
State: relaxed

Unit cell a=3.963 b=3.963 c=4.153 alpha=90.00 beta=90.00 gamma=90.00
Positions (direct):
Nb1 0.000 0.000 0.000
Ni1 0.500 0.500 0.500
O1 0.000 0.500 0.000
O2 0.500 0.000 0.000
F1 0.000 0.000 0.500

## Properties
Energy in eV per atom: -6.0708
V in Å³/cell: 65.2
Density of states at the Fermi level in states/eV per cell: 11.497